{
  "formula": "Pr2TeO5",
  "functional": "GGA-PBE",
  "state": "optimized geometry",
  "e_form_raw_ev_per_atom": -2.477,
  "lattice_angstrom": [[6.707, 0.000, -1.471], [0.000, 7.356, 0.000], [0.356, 0.000, 10.215]],
  "species": ["Pr", "Pr", "Pr", "Pr", "Pr", "Pr", "Pr", "Pr", "Te", "Te", "Te", "Te", "O", "O", "O", "O", "O", "O", "O", "O", "O", "O", "O", "O", "O", "O", "O", "O", "O", "O", "O", "O"],
  "fractional_positions": [[0.747, 0.878, 0.039], [0.247, 0.622, 0.039], [0.571, 0.868, 0.370], [0.071, 0.632, 0.370], [0.929, 0.368, 0.630], [0.429, 0.132, 0.630], [0.753, 0.378, 0.961], [0.253, 0.122, 0.961], [0.592, 0.395, 0.286], [0.092, 0.105, 0.286], [0.908, 0.895, 0.714], [0.408, 0.605, 0.714], [0.942, 0.149, 0.085], [0.948, 0.606, 0.130], [0.442, 0.351, 0.085], [0.448, 0.894, 0.130], [0.879, 0.922, 0.285], [0.982, 0.283, 0.385], [0.379, 0.578, 0.285], [0.746, 0.570, 0.424], [0.482, 0.217, 0.385], [0.246, 0.930, 0.424], [0.754, 0.070, 0.576], [0.518, 0.783, 0.615], [0.254, 0.430, 0.576], [0.621, 0.422, 0.715], [0.018, 0.717, 0.615], [0.121, 0.078, 0.715], [0.552, 0.106, 0.870], [0.558, 0.649, 0.915], [0.052, 0.394, 0.870], [0.058, 0.851, 0.915]]
}



{
  "formula": "Pr5Ho12In2",
  "functional": "GGA-PBE",
  "state": "optimized geometry",
  "delta_e_f_ev_per_atom": -0.014,
  "lattice_angstrom": [[9.325, 0.000, 0.000], [-4.662, 11.072, -1.654], [0.000, -5.169, 6.646]],
  "species": ["Pr", "Pr", "Pr", "Pr", "Pr", "Ho", "Ho", "Ho", "Ho", "Ho", "Ho", "Ho", "Ho", "Ho", "Ho", "Ho", "Ho", "In", "In"],
  "fractional_positions": [[0.304, 0.607, 0.620], [0.234, 0.467, 0.891], [0.000, 0.000, 0.500], [0.766, 0.533, 0.109], [0.696, 0.393, 0.380], [0.076, 0.153, 0.273], [0.040, 0.714, 0.949], [0.674, 0.714, 0.949], [0.181, 0.747, 0.418], [0.566, 0.747, 0.418], [0.553, 0.107, 0.780], [0.447, 0.893, 0.220], [0.819, 0.253, 0.582], [0.434, 0.253, 0.582], [0.960, 0.286, 0.051], [0.326, 0.286, 0.051], [0.924, 0.847, 0.727], [0.678, 0.000, 0.000], [0.322, 0.000, 0.000]]
}



{
  "formula": "KMgCr2",
  "functional": "GGA-PBE",
  "state": "optimized geometry",
  "delta_e_f_ev_per_atom": 1.433,
  "lattice_angstrom": [[6.215, 0.011, -0.008], [3.572, 5.086, 0.008], [-4.131, -4.014, 2.335]],
  "species": ["Cr", "Cr", "K", "Mg"],
  "fractional_positions": [[0.024, 0.024, 0.000], [0.476, 0.476, 0.000], [0.750, 0.250, 0.500], [0.250, 0.750, 0.500]]
}



{
  "formula": "Ba2PdPt2",
  "functional": "GGA-PBE",
  "state": "optimized geometry",
  "delta_e_f_ev_per_atom": -0.438,
  "lattice_angstrom": [[6.160, 0.000, 0.000], [0.000, 6.160, 0.000], [3.080, 3.080, 3.948]],
  "species": ["Pd", "Ba", "Ba", "Pt", "Pt"],
  "fractional_positions": [[0.000, 0.000, 0.000], [0.750, 0.250, 0.500], [0.250, 0.750, 0.500], [0.335, 0.335, 0.329], [0.665, 0.665, 0.671]]
}



{
  "formula": "Ho2ZrZn2Rh5",
  "functional": "GGA-PBE",
  "state": "optimized geometry",
  "delta_e_f_ev_per_atom": -0.717,
  "lattice_angstrom": [[3.600, 0.000, 0.000], [0.000, 9.816, 0.000], [0.000, 0.000, 9.816]],
  "species": ["Ho", "Ho", "Ho", "Ho", "Zr", "Zr", "Zn", "Zn", "Zn", "Zn", "Rh", "Rh", "Rh", "Rh", "Rh", "Rh", "Rh", "Rh", "Rh", "Rh"],
  "fractional_positions": [[0.000, 0.672, 0.172], [0.000, 0.328, 0.828], [0.000, 0.172, 0.328], [0.000, 0.828, 0.672], [0.000, 0.000, 0.000], [0.000, 0.500, 0.500], [0.000, 0.124, 0.624], [0.000, 0.876, 0.376], [0.000, 0.624, 0.876], [0.000, 0.376, 0.124], [0.500, 0.204, 0.070], [0.500, 0.796, 0.930], [0.500, 0.070, 0.796], [0.500, 0.704, 0.430], [0.500, 0.930, 0.204], [0.500, 0.296, 0.570], [0.500, 0.570, 0.704], [0.500, 0.430, 0.296], [0.500, 0.500, 0.000], [0.500, 0.000, 0.500]]
}



{
  "formula": "Na2Pr2I2Cl5",
  "functional": "GGA-PBE",
  "state": "optimized geometry",
  "e_form_raw_ev_per_atom": -1.709,
  "lattice_angstrom": [[5.571, 0.000, 0.000], [0.000, 5.571, 0.000], [-2.786, -2.786, 13.695]],
  "species": ["Na", "Na", "Pr", "Pr", "I", "I", "Cl", "Cl", "Cl", "Cl", "Cl"],
  "fractional_positions": [[0.329, 0.329, 0.658], [0.671, 0.671, 0.342], [0.101, 0.101, 0.202], [0.899, 0.899, 0.798], [0.215, 0.215, 0.430], [0.785, 0.785, 0.570], [0.000, 0.000, 0.000], [0.609, 0.109, 0.218], [0.891, 0.391, 0.782], [0.109, 0.609, 0.218], [0.391, 0.891, 0.782]]
}



{
  "formula": "LiHoPuRu",
  "functional": "GGA-PBE",
  "state": "optimized geometry",
  "delta_e_f_ev_per_atom": -0.100,
  "lattice_angstrom": [[-2.916, 3.910, -0.065], [-1.613, 1.769, -4.251], [-4.700, -0.482, -1.216]],
  "species": ["Ru", "Li", "Ho", "Pu"],
  "fractional_positions": [[0.750, 0.750, 0.750], [0.250, 0.250, 0.250], [0.500, 0.500, 0.500], [0.000, 0.000, 0.000]]
}



{
  "formula": "Ho4Pu3S8",
  "functional": "GGA-PBE",
  "state": "optimized geometry",
  "e_form_raw_ev_per_atom": -1.939,
  "lattice_angstrom": [[-3.187, 6.762, 2.285], [-2.003, -6.659, 3.583], [7.540, -1.454, 1.492]],
  "species": ["Ho", "Ho", "Ho", "Ho", "Pu", "Pu", "Pu", "S", "S", "S", "S", "S", "S", "S", "S"],
  "fractional_positions": [[0.500, 0.000, 0.000], [0.000, 0.500, 0.000], [0.000, 0.000, 0.000], [0.000, 0.000, 0.500], [0.500, 0.500, 0.000], [0.500, 0.000, 0.500], [0.500, 0.500, 0.500], [0.495, 0.246, 0.246], [0.000, 0.752, 0.248], [0.994, 0.246, 0.246], [0.500, 0.751, 0.249], [0.500, 0.249, 0.751], [0.006, 0.754, 0.754], [0.000, 0.248, 0.752], [0.505, 0.754, 0.754]]
}



{
  "formula": "PmPu5Pt5",
  "functional": "GGA-PBE",
  "state": "optimized geometry",
  "delta_e_f_ev_per_atom": -0.627,
  "lattice_angstrom": [[5.745, 0.000, 0.000], [-2.872, 6.423, -0.135], [0.000, -2.452, 7.859]],
  "species": ["Pm", "Pu", "Pu", "Pu", "Pu", "Pu", "Pt", "Pt", "Pt", "Pt", "Pt"],
  "fractional_positions": [[0.000, 0.000, 0.000], [0.662, 0.324, 0.333], [0.667, 0.334, 0.835], [0.000, 0.000, 0.500], [0.333, 0.666, 0.165], [0.338, 0.676, 0.667], [0.830, 0.660, 0.173], [0.828, 0.657, 0.658], [0.500, 0.000, 0.000], [0.172, 0.343, 0.342], [0.170, 0.340, 0.827]]
}



{
  "formula": "LiLa2BeCo",
  "functional": "GGA-PBE",
  "state": "optimized geometry",
  "delta_e_f_ev_per_atom": 0.051,
  "lattice_angstrom": [[-2.172, -2.957, -3.796], [3.797, -3.612, 0.641], [-2.454, -2.047, 2.999]],
  "species": ["Be", "Li", "Co", "La", "La"],
  "fractional_positions": [[0.000, 0.000, 0.500], [0.500, 0.500, 0.500], [0.000, 0.000, 0.000], [0.000, 0.500, 0.000], [0.500, 0.000, 0.000]]
}



Please write out number 9 again, unchanged.
{
  "formula": "PmPu5Pt5",
  "functional": "GGA-PBE",
  "state": "optimized geometry",
  "delta_e_f_ev_per_atom": -0.627,
  "lattice_angstrom": [[5.745, 0.000, 0.000], [-2.872, 6.423, -0.135], [0.000, -2.452, 7.859]],
  "species": ["Pm", "Pu", "Pu", "Pu", "Pu", "Pu", "Pt", "Pt", "Pt", "Pt", "Pt"],
  "fractional_positions": [[0.000, 0.000, 0.000], [0.662, 0.324, 0.333], [0.667, 0.334, 0.835], [0.000, 0.000, 0.500], [0.333, 0.666, 0.165], [0.338, 0.676, 0.667], [0.830, 0.660, 0.173], [0.828, 0.657, 0.658], [0.500, 0.000, 0.000], [0.172, 0.343, 0.342], [0.170, 0.340, 0.827]]
}